LiY2Sc after structural relaxation, computed with GGA-PBE.

The calculated formation energy comes out at 0.134 eV per atom. As for the distance to the lowest polymorph of the same formula: 57 meV/atom.

The space group is R3m (No. 160, hexagonal axes) and the conventional cell measures 3.4389, 3.4389 and 32.7832 Å, with angles of 90.00, 90.00 and 120.00 degrees. The asymmetric unit holds Li at (0.0000, 0.0000, 0.0000), Y at (0.0000, 0.0000, 0.2497), Y at (0.0000, 0.0000, 0.4938) and Sc at (0.0000, 0.0000, 0.7439).